(1)
Mg2ScTc: optimized geometry, PBE.

Unit cell a=3.789 b=4.182 c=4.703 alpha=90.00 beta=90.00 gamma=90.00
Element x y z (fractional)
Tc1 0.000 0.500 0.500
Sc1 0.500 0.000 0.500
Mg1 0.000 0.000 0.000
Mg2 0.500 0.500 0.000

Summary:
DOS(E_F)   3.9 states/eV/f.u.
Energy relative to the elements   0.092 eV per atom
Space-group type   No. 47
ΔE to the lowest computed polymorph   7.1 kJ per mole of atoms

=====

(2)
Pr3Te2As: optimized geometry, PBE.

Unit cell a=4.398 b=6.287 c=7.827 alpha=113.68 beta=106.32 gamma=90.00
Element x y z (fractional)
Pr1 0.500 0.000 0.500
Te1 0.827 0.827 0.155
As1 0.500 0.500 0.500
Te2 0.173 0.173 0.845
Pr2 0.147 0.647 0.794
Pr3 0.853 0.353 0.206

Summary:
DOS(E_F)   2.6 states/eV/f.u.
Raw formation energy   -1.51 eV/atom
Space-group type   No. 71
ΔE to the lowest computed polymorph   1.1 kJ per mole of atoms

=====

(3)
NaHfTl2Rh: optimized geometry, PBE.

Unit cell a=4.957 b=5.329 c=4.957 alpha=90.00 beta=90.00 gamma=90.00
Element x y z (fractional)
Tl1 0.000 0.000 0.500
Hf1 0.000 0.500 0.000
Rh1 0.500 0.500 0.500
Na1 0.000 0.000 0.000
Tl2 0.500 0.000 0.000

Summary:
DOS(E_F)   5.4 states/eV/f.u.
Energy relative to the elements   1.437 eV per atom
Space-group type   No. 123